(1)
{"formula": "AlRe2Pt", "functional": "SCAN", "state": "single point on PBEsol structure", "space_group": "I-4m2", "e_above_lowest_polymorph_mev_per_atom": 0, "mass_density_kg_m3": 17086, "lattice": [[-1.968, 1.968, 3.731], [1.968, -1.968, 3.731], [1.968, 1.968, -3.731]], "species": ["Al", "Re", "Re", "Pt"], "frac_coords": [[0.000, 0.000, 0.000], [0.250, 0.750, 0.500], [0.500, 0.500, 0.000], [0.750, 0.250, 0.500]]}

=====

(2)
{"formula": "AlRe2Pt", "functional": "SCAN", "state": "single point on PBEsol structure", "space_group": "I4/mmm", "e_above_lowest_polymorph_mev_per_atom": 43, "mass_density_kg_m3": 17092, "lattice": [[-1.882, 1.882, 4.078], [1.882, -1.882, 4.078], [1.882, 1.882, -4.078]], "species": ["Al", "Re", "Re", "Pt"], "frac_coords": [[0.000, 0.000, 0.000], [0.250, 0.750, 0.500], [0.750, 0.250, 0.500], [0.500, 0.500, 0.000]]}

=====

(3)
{"formula": "SrAlRePt2", "functional": "SCAN", "state": "single point on PBEsol structure", "space_group": "P4/mmm", "mass_density_kg_m3": 9017, "lattice": [[5.014, 0.000, 0.000], [0.000, 5.014, 0.000], [0.000, 0.000, 5.061]], "species": ["Sr", "Al", "Re", "Pt", "Pt"], "frac_coords": [[0.000, 0.000, 0.000], [0.000, 0.000, 0.500], [0.500, 0.500, 0.500], [0.000, 0.500, 0.000], [0.500, 0.000, 0.000]]}

=====

(4)
{"formula": "Al2PtRh", "functional": "SCAN", "state": "single point on PBEsol structure", "space_group": "I4/mmm", "mass_density_kg_m3": 10693, "lattice": [[-2.023, 2.023, 3.340], [2.023, -2.023, 3.340], [2.023, 2.023, -3.340]], "species": ["Al", "Al", "Pt", "Rh"], "frac_coords": [[0.250, 0.750, 0.500], [0.750, 0.250, 0.500], [0.000, 0.000, 0.000], [0.500, 0.500, 0.000]]}

=====

Number 1: N(E_F) 0.633 states/eV/atom, final energy -55.276 eV/atom. Number 2: N(E_F) 0.881 states/eV/atom, final energy -55.233 eV/atom. Number 3: N(E_F) 0.601 states/eV/atom, final energy -45.784 eV/atom. Number 4: N(E_F) 0.207 states/eV/atom, final energy -31.128 eV/atom.